# NaLaAgSn (PBE-GGA, optimized geometry)
# space group = F-43m, No. 216
# V = 108.2 Å³ per cell
# ΔH_f (0 K) = -0.361 eV per atom
# total moment = 0.00 Bohr magnetons per cell
# N(E_F) = 2.29 states/eV/cell
data_NaLaAgSn
_cell_length_a 5.3488
_cell_length_b 5.3488
_cell_length_c 5.3488
_cell_angle_alpha 60.00
_cell_angle_beta 60.00
_cell_angle_gamma 60.00
_symmetry_space_group_name_H-M 'P 1'
_symmetry_Int_Tables_number 1
_symmetry_space_group_name_Hall 'P 1'
loop_
_atom_site_label
_atom_site_type_symbol
_atom_site_fract_x
_atom_site_fract_y
_atom_site_fract_z
Na1 Na 0.0000 0.0000 0.0000
La1 La 0.5000 0.5000 0.5000
Ag1 Ag 0.7500 0.7500 0.7500
Sn1 Sn 0.2500 0.2500 0.2500



# NaSrLaAg (PBE-GGA, optimized geometry)
# space group = F-43m, No. 216
# V = 129.5 Å³ per cell
# ΔH_f (0 K) = 0.029 eV per atom
# total moment = 0.00 Bohr magnetons per cell
# N(E_F) = 3.64 states/eV/cell
data_NaSrLaAg
_cell_length_a 5.6793
_cell_length_b 5.6793
_cell_length_c 5.6793
_cell_angle_alpha 60.00
_cell_angle_beta 60.00
_cell_angle_gamma 60.00
_symmetry_space_group_name_H-M 'P 1'
_symmetry_Int_Tables_number 1
_symmetry_space_group_name_Hall 'P 1'
loop_
_atom_site_label
_atom_site_type_symbol
_atom_site_fract_x
_atom_site_fract_y
_atom_site_fract_z
Na1 Na 0.0000 0.0000 0.0000
Sr1 Sr 0.2500 0.2500 0.2500
La1 La 0.7500 0.7500 0.7500
Ag1 Ag 0.5000 0.5000 0.5000



# NaLa2AgTe4 (PBE-GGA, optimized geometry)
# space group = P2/m, No. 10
# V = 265.7 Å³ per cell
# formation energy from raw total energies = -1159 meV per atom
# total moment = 0.00 Bohr magnetons per cell
data_NaLa2AgTe4
_cell_length_a 7.6755
_cell_length_b 4.6281
_cell_length_c 8.0382
_cell_angle_alpha 90.00
_cell_angle_beta 111.47
_cell_angle_gamma 90.00
_symmetry_space_group_name_H-M 'P 1'
_symmetry_Int_Tables_number 1
_symmetry_space_group_name_Hall 'P 1'
loop_
_atom_site_label
_atom_site_type_symbol
_atom_site_fract_x
_atom_site_fract_y
_atom_site_fract_z
Na1 Na 0.0000 0.0000 0.0000
La1 La 0.5000 0.0000 0.5000
La2 La 0.5000 0.5000 0.0000
Ag1 Ag 0.0000 0.5000 0.5000
Te1 Te 0.2412 0.0000 0.7399
Te2 Te 0.2502 0.5000 0.2486
Te3 Te 0.7498 0.5000 0.7514
Te4 Te 0.7588 0.0000 0.2601



# Na2LaTlAg (PBE-GGA, optimized geometry)
# space group = P4/mmm, No. 123
# V = 241.3 Å³ per cell
# ΔH_f (0 K) = 0.796 eV per atom
# total moment = 0.00 Bohr magnetons per cell
# N(E_F) = 5.92 states/eV/cell
data_Na2LaTlAg
_cell_length_a 6.5857
_cell_length_b 6.5857
_cell_length_c 5.5633
_cell_angle_alpha 90.00
_cell_angle_beta 90.00
_cell_angle_gamma 90.00
_symmetry_space_group_name_H-M 'P 1'
_symmetry_Int_Tables_number 1
_symmetry_space_group_name_Hall 'P 1'
loop_
_atom_site_label
_atom_site_type_symbol
_atom_site_fract_x
_atom_site_fract_y
_atom_site_fract_z
Na1 Na 0.0000 0.5000 0.0000
Na2 Na 0.5000 0.0000 0.0000
La1 La 0.0000 0.0000 0.0000
Tl1 Tl 0.5000 0.5000 0.5000
Ag1 Ag 0.0000 0.0000 0.5000